Below is crystalline MgSeO9 at its relaxed geometry, with properties calculated at the PBE level.

Space-group type: No. 146
E_form (uncorrected): -0.313 eV/atom
Fermi-level density of states: 3.549 states/eV per cell

Cell lengths 5.3164, 5.3164, 5.3164 Å; angles 94.34, 94.34, 94.34 degrees
Fractional coordinates of all 11 atoms:
O1 0.9830 0.5767 0.9104
O2 0.0936 0.3940 0.0031
O3 0.0031 0.0936 0.3940
O4 0.3940 0.0031 0.0936
O5 0.6919 0.4988 0.2789
O6 0.9104 0.9830 0.5767
O7 0.5767 0.9104 0.9830
O8 0.4988 0.2789 0.6919
O9 0.2789 0.6919 0.4988
Se1 0.4537 0.4537 0.4537
Mg1 0.9876 0.9876 0.9876